DFT (PBE-GGA) results for a geometry-optimized BeAs2P structure.

Lattice parameters (Å, degrees): 4.4109 4.4109 3.1863 90.00 90.00 90.02
Last column: nearest neighbours and their distance in Å.
Atoms (fractional coordinates):
P  0.0000  0.5000  0.5000  8 As 2.72
As  0.0000  0.0000  0.0000  4 Be 2.72, 4 P 2.72
As  0.5000  0.5000  0.0000  4 P 2.72, 4 Be 2.72
Be  0.5000  0.0000  0.5000  8 As 2.72

Computed properties:
The calculated formation energy comes out at 0.611 eV per atom. The density of states at the Fermi level is 1.4 states/eV/cell. Its polymorph energy (0 for the lowest one) is 525.5 meV per atom.

DFT (PBE-GGA) results for a geometry-optimized Be2AsP structure.

Lattice parameters (Å, degrees): 3.8420 3.8420 5.3677 72.66 72.66 50.56
Last column: nearest neighbours and their distance in Å.
Atoms (fractional coordinates):
P  0.5081  0.5081  0.6370  5 Be 2.15-2.34
As  0.2304  0.2304  0.1474  3 Be 2.24-2.39
Be  0.9879  0.9879  0.9568  1 Be 2.10, 1 As 2.24, 2 P 2.34
Be  0.7736  0.7736  0.7588  1 Be 2.10, 3 P 2.15-2.25

Computed properties:
The calculated formation energy comes out at 0.044 eV per atom. The density of states at the Fermi level is 0.9 states/eV/cell. Its polymorph energy (0 for the lowest one) is 64.0 meV per atom.

DFT (PBE-GGA) results for a geometry-optimized Be2AsP structure.

Lattice parameters (Å, degrees): 2.5770 2.5770 8.3254 90.00 90.00 90.00
Last column: nearest neighbours and their distance in Å.
Atoms (fractional coordinates):
P  0.0000  0.0000  0.4232  4 Be 2.46, 4 P 2.58
As  0.5000  0.5000  0.8098  4 As 2.58, 4 Be 2.66
Be  0.0000  0.0000  0.0431  8 Be 2.36-2.58
Be  0.5000  0.5000  0.2240  8 Be 2.36-2.58, 4 P 2.46

Computed properties:
The calculated formation energy comes out at 0.451 eV per atom. The density of states at the Fermi level is 1.4 states/eV/cell. Its polymorph energy (0 for the lowest one) is 471.8 meV per atom.

DFT (PBE-GGA) results for a geometry-optimized Be2AsP structure.

Lattice parameters (Å, degrees): 2.8237 2.8237 6.4887 90.00 90.00 90.00
Last column: nearest neighbours and their distance in Å.
Atoms (fractional coordinates):
P  0.5000  0.5000  0.2500  8 Be 2.38
As  0.5000  0.5000  0.7500  8 Be 2.78, 4 As 2.82
Be  0.0000  0.0000  0.0492  4 P 2.38, 1 Be 2.61
Be  0.0000  0.0000  0.4508  4 P 2.38, 1 Be 2.61

Computed properties:
The calculated formation energy comes out at 0.491 eV per atom. The density of states at the Fermi level is 1.5 states/eV/cell. Its polymorph energy (0 for the lowest one) is 511.7 meV per atom.